# Sc3BeP | the Alexandria database | GGA-PBE | optimized geometry
data_Sc3BeP
_chemical_formula_sum 'Sc3 Be1 P1'
_cell_length_a 4.855
_cell_length_b 4.855
_cell_length_c 4.855
_cell_angle_alpha 90.00
_cell_angle_beta 90.00
_cell_angle_gamma 90.00
_space_group_name_H-M_alt 'P m -3 m'
_space_group_IT_number 221
_space_group_name_Hall '-P 4 2 3'
loop_
_atom_site_label
_atom_site_type_symbol
_atom_site_fract_x
_atom_site_fract_y
_atom_site_fract_z
Sc1 Sc 0.000 0.000 0.500
Be1 Be 0.500 0.500 0.500
P1 P 0.000 0.000 0.000
# * distance to the lowest polymorph of the same formula: 0 meV per atom
# * calculated formation energy: -178 meV per atom